{
  "formula": "Ba2MnFeO4",
  "functional": "PBE+U",
  "state": "optimized geometry",
  "dos_at_fermi_per_ev_cell": 0.00,
  "e_tot_ev_per_cell": -52.3,
  "cell": [[-0.173, 1.077, -5.559], [5.075, -1.604, 1.941], [-3.083, -4.460, 1.641]],
  "species": ["Fe", "Ba", "O", "O", "O", "Mn", "O", "Ba"],
  "fractional_positions": [[0.500, 0.250, 0.750], [0.500, 0.750, 0.250], [0.421, 0.885, 0.812], [0.073, 0.188, 0.609], [0.579, 0.391, 0.464], [0.000, 0.500, 0.500], [0.927, 0.536, 0.115], [0.000, 0.000, 0.000]]
}